Density functional theory data (GGA-PBE) for BaGaRu2O after structural relaxation.

Values from the calculation:
E_form (uncorrected) = 562 meV/atom
Space-group type = P4/mmm (123)
N(E_F) = 5.0 states/eV per cell

Cell: 4.8575 4.8575 4.2719 Å, 90.00 90.00 90.00°
Fractional coordinates of all 5 atoms:
Ba (0.0000, 0.0000, 0.0000)
Ga (0.5000, 0.5000, 0.5000)
Ru (0.0000, 0.5000, 0.5000)
Ru (0.5000, 0.0000, 0.5000)
O (0.5000, 0.5000, 0.0000)

Density functional theory data (GGA-PBE) for Ba2GaSbO after structural relaxation.

Values from the calculation:
E_form (uncorrected) = -339 meV/atom
Space-group type = P4/mmm (123)
N(E_F) = 4.7 states/eV per cell
Relative energy among the computed polymorphs = 1078 meV/atom

Cell: 6.6728 6.6728 4.2916 Å, 90.00 90.00 90.00°
Fractional coordinates of all 5 atoms:
Ba (0.0000, 0.5000, 0.0000)
Ba (0.5000, 0.0000, 0.0000)
Ga (0.0000, 0.0000, 0.5000)
Sb (0.5000, 0.5000, 0.0000)
O (0.5000, 0.5000, 0.5000)

Density functional theory data (GGA-PBE) for Ba2GaSbO after structural relaxation.

Values from the calculation:
E_form (uncorrected) = -1417 meV/atom
Space-group type = P2_1/m (11)
N(E_F) = 0.2 states/eV per cell
Relative energy among the computed polymorphs = 0 meV/atom

Cell: 6.9605 4.6121 10.1498 Å, 90.00 105.64 90.00°
Fractional coordinates of all 10 atoms:
Ba (0.1810, 0.2500, 0.4072)
Ba (0.2965, 0.7500, 0.0883)
Ba (0.7035, 0.2500, 0.9117)
Ba (0.8190, 0.7500, 0.5928)
Ga (0.3503, 0.7500, 0.6741)
Ga (0.6497, 0.2500, 0.3259)
Sb (0.1752, 0.2500, 0.7887)
Sb (0.8248, 0.7500, 0.2113)
O (0.3720, 0.2500, 0.2245)
O (0.6280, 0.7500, 0.7755)

Density functional theory data (GGA-PBE) for Ba2Ga2SbO6 after structural relaxation.

Values from the calculation:
E_form (uncorrected) = -1840 meV/atom
Space-group type = R-3m (166)
N(E_F) = 1.6 states/eV per cell

Cell: 6.9629 6.9629 6.9629 Å, 51.53 51.53 51.53°
Fractional coordinates of all 11 atoms:
Ba (0.2152, 0.2152, 0.2152)
Ba (0.7848, 0.7848, 0.7848)
Ga (0.4338, 0.4338, 0.4338)
Ga (0.5662, 0.5662, 0.5662)
Sb (0.0000, 0.0000, 0.0000)
O (0.2372, 0.2372, 0.7622)
O (0.2372, 0.7622, 0.2372)
O (0.2378, 0.7628, 0.7628)
O (0.7622, 0.2372, 0.2372)
O (0.7628, 0.2378, 0.7628)
O (0.7628, 0.7628, 0.2378)

Density functional theory data (GGA-PBE) for Ba2ScGa2O6 after structural relaxation.

Values from the calculation:
E_form (uncorrected) = -2414 meV/atom
Space-group type = C2/m (12)
N(E_F) = 0.9 states/eV per cell

Cell: 5.9216 5.9216 6.7449 Å, 116.72 116.72 60.25°
Fractional coordinates of all 11 atoms:
Ba (0.2148, 0.2148, 0.1874)
Ba (0.7852, 0.7852, 0.8126)
Sc (0.0000, 0.0000, 0.5000)
Ga (0.4477, 0.4477, 0.7819)
Ga (0.5523, 0.5523, 0.2181)
O (0.2000, 0.7131, 0.2376)
O (0.2383, 0.2383, 0.6160)
O (0.2869, 0.8000, 0.7624)
O (0.7131, 0.2000, 0.2376)
O (0.7617, 0.7617, 0.3840)
O (0.8000, 0.2869, 0.7624)

Density functional theory data (GGA-PBE) for Ba2ScGaO after structural relaxation.

Values from the calculation:
E_form (uncorrected) = 465 meV/atom
Space-group type = P4/mmm (123)
N(E_F) = 10.2 states/eV per cell

Cell: 6.2870 6.2870 4.8683 Å, 90.00 90.00 90.00°
Fractional coordinates of all 5 atoms:
Ba (0.0000, 0.5000, 0.0000)
Ba (0.5000, 0.0000, 0.0000)
Sc (0.0000, 0.0000, 0.0000)
Ga (0.0000, 0.0000, 0.5000)
O (0.5000, 0.5000, 0.5000)

Density functional theory data (GGA-PBE) for Ba3ScGa2O8 after structural relaxation.

Values from the calculation:
E_form (uncorrected) = -2447 meV/atom
Space-group type = P-3m1 (164)
N(E_F) = 13.3 states/eV per cell

Cell: 5.8700 5.8700 7.5757 Å, 90.00 90.00 120.00°
Fractional coordinates of all 14 atoms:
Ba (0.0000, 0.0000, 0.0000)
Ba (0.3333, 0.6667, 0.6548)
Ba (0.6667, 0.3333, 0.3452)
Sc (0.0000, 0.0000, 0.5000)
Ga (0.3333, 0.6667, 0.2266)
Ga (0.6667, 0.3333, 0.7734)
O (0.1652, 0.3305, 0.3290)
O (0.1652, 0.8348, 0.3290)
O (0.3305, 0.1652, 0.6710)
O (0.3333, 0.6667, 0.9875)
O (0.6667, 0.3333, 0.0125)
O (0.6695, 0.8348, 0.3290)
O (0.8348, 0.1652, 0.6710)
O (0.8348, 0.6695, 0.6710)

Density functional theory data (GGA-PBE) for BaSc4Ga3O12 after structural relaxation.

Values from the calculation:
E_form (uncorrected) = -2585 meV/atom
Space-group type = Im-3 (204)
N(E_F) = 12.2 states/eV per cell

Cell: 6.7971 6.7971 6.7971 Å, 109.47 109.47 109.47°
Fractional coordinates of all 20 atoms:
Ba (0.0000, 0.0000, 0.0000)
Sc (0.0000, 0.0000, 0.5000)
Sc (0.0000, 0.5000, 0.0000)
Sc (0.5000, 0.0000, 0.0000)
Sc (0.5000, 0.5000, 0.5000)
Ga (0.0000, 0.5000, 0.5000)
Ga (0.5000, 0.0000, 0.5000)
Ga (0.5000, 0.5000, 0.0000)
O (0.1515, 0.8307, 0.3208)
O (0.1693, 0.3208, 0.4902)
O (0.1693, 0.6792, 0.8485)
O (0.3208, 0.1515, 0.8307)
O (0.3208, 0.4902, 0.1693)
O (0.4902, 0.1693, 0.3208)
O (0.5098, 0.8307, 0.6792)
O (0.6792, 0.5098, 0.8307)
O (0.6792, 0.8485, 0.1693)
O (0.8307, 0.3208, 0.1515)
O (0.8307, 0.6792, 0.5098)
O (0.8485, 0.1693, 0.6792)